# 1
! PBE HgMo4Se, optimized geometry; values from VASP
! Calculated volume in Å³ per atom: 17.90
! Raw formation energy in meV/atom: 660
! Fermi-level density of states in states/eV per cell: 5.35
! Space-group type: F-43m, No. 216
&SYSTEM
  ibrav = 0, nat = 6, ntyp = 3
/
ATOMIC_SPECIES
Mo 95.94 Mo.upf
Se 78.96 Se.upf
Hg 200.59 Hg.upf
ATOMIC_POSITIONS crystal
Mo 0.878 0.374 0.374
Se 0.750 0.750 0.750
Mo 0.374 0.374 0.374
Hg 0.000 0.000 0.000
Mo 0.374 0.374 0.878
Mo 0.374 0.878 0.374
CELL_PARAMETERS angstrom
1.140 0.736 5.160
-3.942 0.647 3.537
-1.064 -3.846 3.542

# 2
! PBE HgMo2Se, optimized geometry; values from VASP
! Calculated volume in Å³ per atom: 19.89
! Raw formation energy in meV/atom: 730
! Fermi-level density of states in states/eV per cell: 7.82
! Space-group type: I-42d, No. 122
&SYSTEM
  ibrav = 0, nat = 8, ntyp = 3
/
ATOMIC_SPECIES
Se 78.96 Se.upf
Hg 200.59 Hg.upf
Mo 95.94 Mo.upf
ATOMIC_POSITIONS crystal
Se 0.250 0.750 0.500
Hg 0.750 0.250 0.500
Hg 0.000 0.000 0.000
Mo 0.875 0.805 0.750
Mo 0.375 0.445 0.750
Mo 0.195 0.625 0.250
Se 0.500 0.500 0.000
Mo 0.555 0.125 0.250
CELL_PARAMETERS angstrom
-3.429 1.362 1.778
-1.828 0.176 -3.661
-5.627 -8.169 0.126

# 3
! PBE HgMo2Se, optimized geometry; values from VASP
! Calculated volume in Å³ per atom: 18.04
! Raw formation energy in meV/atom: 849
! Fermi-level density of states in states/eV per cell: 3.85
! Space-group type: P4/mmm, No. 123
&SYSTEM
  ibrav = 0, nat = 4, ntyp = 3
/
ATOMIC_SPECIES
Se 78.96 Se.upf
Hg 200.59 Hg.upf
Mo 95.94 Mo.upf
ATOMIC_POSITIONS crystal
Se 0.500 0.500 0.000
Hg 0.500 0.000 0.500
Mo 0.000 0.000 0.000
Mo 0.000 0.500 0.500
CELL_PARAMETERS angstrom
-3.475 2.443 1.626
-2.134 -0.873 -3.249
-1.433 -3.245 1.813

# 4
! PBE Hg2MoSe, optimized geometry; values from VASP
! Calculated volume in Å³ per atom: 23.17
! Raw formation energy in meV/atom: 267
! Fermi-level density of states in states/eV per cell: 2.11
! Space-group type: Cmm2, No. 35
&SYSTEM
  ibrav = 0, nat = 4, ntyp = 3
/
ATOMIC_SPECIES
Mo 95.94 Mo.upf
Hg 200.59 Hg.upf
Se 78.96 Se.upf
ATOMIC_POSITIONS crystal
Mo 0.000 0.000 0.514
Hg 0.000 0.000 0.016
Se 0.500 0.500 0.681
Hg 0.500 0.500 0.289
CELL_PARAMETERS angstrom
-0.135 2.466 -1.844
-1.924 -0.023 2.408
7.558 4.966 6.085

# 5
! PBE HgMo2Se, optimized geometry; values from VASP
! Calculated volume in Å³ per atom: 19.74
! Raw formation energy in meV/atom: 317
! Fermi-level density of states in states/eV per cell: 2.44
! Space-group type: Cmm2, No. 35
&SYSTEM
  ibrav = 0, nat = 4, ntyp = 3
/
ATOMIC_SPECIES
Mo 95.94 Mo.upf
Hg 200.59 Hg.upf
Se 78.96 Se.upf
ATOMIC_POSITIONS crystal
Mo 0.500 0.500 0.234
Mo 0.000 0.000 0.037
Hg 0.500 0.500 0.788
Se 0.000 0.000 0.441
CELL_PARAMETERS angstrom
2.880 0.018 0.000
-1.048 2.682 0.000
0.000 0.000 10.198

# 6
! PBE HgMoSe3, optimized geometry; values from VASP
! Calculated volume in Å³ per atom: 24.73
! Raw formation energy in meV/atom: 121
! Fermi-level density of states in states/eV per cell: 3.42
! Space-group type: Pm-3m, No. 221
&SYSTEM
  ibrav = 0, nat = 5, ntyp = 3
/
ATOMIC_SPECIES
Se 78.96 Se.upf
Hg 200.59 Hg.upf
Mo 95.94 Mo.upf
ATOMIC_POSITIONS crystal
Se 0.000 0.500 0.000
Hg 0.500 0.500 0.500
Se 0.000 0.000 0.500
Se 0.500 0.000 0.000
Mo 0.000 0.000 0.000
CELL_PARAMETERS angstrom
-4.872 0.151 -1.030
-1.034 -0.139 4.871
0.119 4.978 0.168